Compound: NaBeCuAu6
Source: the Alexandria database
Functional: PBE-GGA
Structure: optimized geometry

Computed properties:
- space group = Imma
- E_tot (eV per atom) = -3.21

Unit cell a=5.4999 b=8.9480 c=8.4752 alpha=121.86 beta=108.93 gamma=90.00
Fractional positions:
1 Au 0.6144 0.3446 0.7244
2 Au 0.3856 0.1202 0.2756
3 Au 0.1100 0.8798 0.7244
4 Au 0.4408 0.6908 0.8816
5 Au 0.0180 0.7680 0.0360
6 Au 0.6144 0.8798 0.7244
7 Au 0.8900 0.6554 0.2756
8 Au 0.1100 0.3446 0.7244
9 Au 0.5592 0.3092 0.1184
10 Au 0.3856 0.6554 0.2756
11 Au 0.9820 0.2320 0.9640
12 Au 0.8900 0.1202 0.2756
13 Cu 0.5000 0.0000 0.5000
14 Cu 0.0000 0.0000 0.5000
15 Na 0.2143 0.4643 0.4287
16 Na 0.7857 0.5357 0.5713
17 Be 0.5000 0.0000 0.0000
18 Be 0.5000 0.5000 0.0000


Compound: Ca3CuIr
Source: the Alexandria database
Functional: PBE-GGA
Structure: optimized geometry

Computed properties:
- space group = Pm-3m
- relative energy among the computed polymorphs (meV per atom) = 306
- E_tot (eV per atom) = -3.73

Unit cell a=5.4323 b=5.4323 c=5.4323 alpha=90.00 beta=90.00 gamma=90.00
Fractional positions:
1 Cu 0.5000 0.5000 0.5000
2 Ir 0.0000 0.0000 0.0000
3 Ca 0.5000 0.0000 0.0000
4 Ca 0.0000 0.0000 0.5000
5 Ca 0.0000 0.5000 0.0000


Energy of formation from the pure elements across the listed records, respectively: -0.004; 0.064 eV per atom.